A relaxed structure of Re2Au3. Source: Alexandria, functional PBEsol.

Results
For the energy relative to the elements, the calculation gives 1.985 eV per formula unit.

Lattice parameters (Å, degrees): 11.7754 11.7754 11.7754 13.60 13.60 13.60
With the nearest neighbours (Å) after each atom.
Element x y z (fractional)
Re 0.1003 0.1003 0.1003  6 Re 2.79, 6 Au 2.80-2.82
Re 0.8997 0.8997 0.8997  6 Re 2.79, 6 Au 2.80-2.82
Au 0.2983 0.2983 0.2983  9 Au 2.79-2.93, 3 Re 2.80
Au 0.5000 0.5000 0.5000  6 Au 2.79, 6 Re 2.82
Au 0.7017 0.7017 0.7017  9 Au 2.79-2.93, 3 Re 2.80